[1]
## Li2LaCu (SCAN)

Data for Li2LaCu at its PBEsol-relaxed geometry.

Cell: 4.0297 4.0297 5.3205 Å, 90.00 90.00 90.00°
With the nearest neighbours (Å) after each atom.
Space group P4/mmm (No. 123)
One atom of each set of equivalent atoms:
Li 0.0000 0.5000 0.0000 x2  4 Li 2.85
La 0.0000 0.0000 0.5000 x1  4 Cu 2.85
Cu 0.5000 0.5000 0.5000 x1  4 La 2.85

Results
ΔE_f   0.089 eV per atom
E above lowest polymorph   85.1 meV/atom



[2]
## Be2TcHgRu (SCAN)

Data for Be2TcHgRu at its PBEsol-relaxed geometry.

Cell: 4.1626 4.1626 4.9785 Å, 90.00 90.00 90.00°
With the nearest neighbours (Å) after each atom.
Space group P4/mmm (No. 123)
One atom of each set of equivalent atoms:
Be 0.0000 0.5000 0.0000 x2  2 Hg 2.08
Tc 0.0000 0.0000 0.5000 x1  4 Ru 2.94, 8 Be 3.24
Hg 0.5000 0.5000 0.0000 x1  4 Be 2.08
Ru 0.5000 0.5000 0.5000 x1  2 Hg 2.49

Results
ΔE_f   1.558 eV per atom



[3]
## Ba2LaCu2HgO7 (SCAN)

Data for Ba2LaCu2HgO7 at its PBEsol-relaxed geometry.

Cell: 3.8709 3.8709 12.5667 Å, 90.00 90.00 90.00°
With the nearest neighbours (Å) after each atom.
Space group P4/mmm (No. 123)
One atom of each set of equivalent atoms:
Ba 0.0000 0.0000 0.2013 x2  5 O 2.53-2.77
La 0.0000 0.0000 0.5000 x1  8 O 2.49
Cu 0.5000 0.5000 0.3557 x2  4 O 1.95
Hg 0.5000 0.5000 0.0000 x1  2 O 2.09
O 0.0000 0.0000 0.0000 x1  2 Ba 2.53, 4 Hg 2.74
O 0.0000 0.5000 0.3756 x4  2 Cu 1.95
O 0.5000 0.5000 0.1667 x2  1 Hg 2.09

Results
Raw formation energy   -1.913 eV/atom



[4]
## Ni5Pt6 (SCAN)

Data for Ni5Pt6 at its PBEsol-relaxed geometry.

Cell: 4.5661 5.9103 5.9479 Å, 107.30 105.03 97.33°
With the nearest neighbours (Å) after each atom.
Space group P1 (No. 1)
One atom of each set of equivalent atoms:
Ni 0.0000 0.0000 0.0000 x1  4 Ni 2.61-2.68, 8 Pt 2.61-2.70
Ni 0.0895 0.8261 0.3606 x1  4 Ni 2.59-2.65, 8 Pt 2.61-2.71
Ni 0.3618 0.2701 0.4501 x1  7 Pt 2.56-2.71, 5 Ni 2.59-2.69
Ni 0.7294 0.5497 0.9080 x1  8 Pt 2.60-2.70, 4 Ni 2.62-2.69
Ni 0.9081 0.1860 0.6346 x1  7 Pt 2.60-2.64, 5 Ni 2.63-2.68
Pt 0.1830 0.6317 0.7255 x1  6 Ni 2.60-2.71, 6 Pt 2.63-2.73
Pt 0.2619 0.4529 0.0878 x1  6 Ni 2.60-2.70, 6 Pt 2.61-2.73
Pt 0.4507 0.1008 0.8053 x1  7 Ni 2.56-2.70, 5 Pt 2.63-2.75
Pt 0.5477 0.9140 0.1835 x1  7 Ni 2.61-2.66, 5 Pt 2.62-2.75
Pt 0.6445 0.7369 0.5513 x1  6 Ni 2.61-2.71, 6 Pt 2.63-2.73
Pt 0.8218 0.3629 0.2744 x1  6 Pt 2.61-2.71, 6 Ni 2.61-2.69

Results
ΔE_f   -0.124 eV per atom



[5]
## CeNdSi2 (SCAN)

Data for CeNdSi2 at its PBEsol-relaxed geometry.

Cell: 3.8857 5.8115 8.0937 Å, 90.00 90.00 90.00°
With the nearest neighbours (Å) after each atom.
Space group Pmc2_1 (No. 26)
One atom of each set of equivalent atoms:
Ce 0.0000 0.1364 0.0000 x2  7 Si 3.01-3.17
Nd 0.5000 0.3658 0.6399 x2  7 Si 3.02-3.21
Si 0.0000 0.3670 0.3547 x2  2 Si 2.47
Si 0.5000 0.1230 0.2843 x2  2 Si 2.47

Results
Raw formation energy   -0.727 eV/atom



[6]
## Hf2BI (SCAN)

Data for Hf2BI at its PBEsol-relaxed geometry.

Cell: 5.7793 5.7793 11.1970 Å, 90.00 90.00 90.00°
With the nearest neighbours (Å) after each atom.
Space group I-42d (No. 122)
One atom of each set of equivalent atoms:
Hf 0.1535 0.2500 0.1250 x8  2 B 2.20
B 0.0000 0.0000 0.0000 x4  4 Hf 2.20
I 0.0000 0.0000 0.5000 x4  4 Hf 2.84

Results
Raw formation energy   0.218 eV/atom



These records have total moment values of 0.0; 4.7; 0.8; 6.7; 1.1; 0.0 μB/f.u., in the order they appear.